1.
BeZnSi2: relaxed, GGA-PBE.

magnetization: 0.000 μB per cell
density of states at the Fermi level: 0.81 states/eV/f.u.
polymorph energy (0 for the lowest one): 85 meV/atom
crystal system: orthorhombic
formation energy from raw total energies: 0.3672 eV/atom
calculated total energy: -3.59 eV/atom

Cell lengths 2.5291, 3.4591, 6.4069 Å; angles 90.00, 90.00, 90.00 degrees
Last column: nearest neighbours and their distance in Å.
Fractional positions:
Be 0.5000 0.5000 0.7500  8 Si 2.49, 2 Be 2.53
Zn 0.5000 0.5000 0.2500  2 Zn 2.53
Si 0.0000 0.0000 0.9494  4 Be 2.49, 3 Si 2.53-2.56
Si 0.0000 0.0000 0.5506  4 Be 2.49, 3 Si 2.53-2.56

2.
BeZnSi2: relaxed, GGA-PBE.

magnetization: 0.000 μB per cell
density of states at the Fermi level: 1.02 states/eV/f.u.
polymorph energy (0 for the lowest one): 50 meV/atom
crystal system: orthorhombic
formation energy from raw total energies: 0.3323 eV/atom
calculated total energy: -3.63 eV/atom

Cell lengths 5.8563, 5.8563, 5.8563 Å; angles 155.04, 139.24, 48.39 degrees
Last column: nearest neighbours and their distance in Å.
Fractional positions:
Be 0.2500 0.7500 0.5000  4 Zn 2.40, 4 Si 2.44, 2 Be 2.53
Zn 0.7500 0.2500 0.5000  4 Be 2.40, 2 Zn 2.53
Si 0.0553 0.0553 0.0000  2 Be 2.44, 6 Si 2.53-2.67
Si 0.4447 0.4447 0.0000  2 Be 2.44, 6 Si 2.53-2.67

3.
BeZnSi2: relaxed, GGA-PBE.

magnetization: 0.000 μB per cell
density of states at the Fermi level: 1.78 states/eV/f.u.
polymorph energy (0 for the lowest one): 175 meV/atom
crystal system: orthorhombic
formation energy from raw total energies: 0.4578 eV/atom
calculated total energy: -3.50 eV/atom

Cell lengths 2.4992, 4.7061, 4.6711 Å; angles 90.00, 90.00, 90.00 degrees
Last column: nearest neighbours and their distance in Å.
Fractional positions:
Be 0.0000 0.5000 0.5000  2 Be 2.50, 4 Si 2.65, 4 Zn 2.66
Zn 0.5000 0.0000 0.5000  2 Zn 2.50, 4 Si 2.65, 4 Be 2.66
Si 0.0000 0.0000 0.0000  6 Si 2.50-2.66, 4 Zn 2.65
Si 0.5000 0.5000 0.0000  6 Si 2.50-2.66, 4 Be 2.65